No. 1
# Mn3BOs

An optimized crystal structure of Mn3BOs (PBE, Alexandria).

The calculation puts the density of states at the Fermi level at 1.858 states/eV/atom. Its distance to the lowest polymorph of the same formula is 1833.5 meV/atom. The calculated total energy comes out at -35.38 eV per cell.

a b c (Å): 4.6326 4.6326 4.6326
angles (deg): 90.00 90.00 90.00
Closest atoms and distances in Å follow each position.
Element x y z (fractional)
Mn (0.0000, 0.0000, 0.5000)  2 Os 2.32
Mn (0.0000, 0.5000, 0.0000)  2 Os 2.32
Mn (0.5000, 0.0000, 0.0000)  2 Os 2.32
B (0.5000, 0.5000, 0.5000)  12 Mn 3.28
Os (0.0000, 0.0000, 0.0000)  6 Mn 2.32


No. 2
# CuNiPdPt

An optimized crystal structure of CuNiPdPt (PBE, Alexandria).

The calculation puts the density of states at the Fermi level at 1.191 states/eV/atom. Its distance to the lowest polymorph of the same formula is 0.0 meV/atom. The calculated total energy comes out at -21.41 eV per cell.

a b c (Å): 2.7420 2.7420 7.2456
angles (deg): 90.00 90.00 90.00
Closest atoms and distances in Å follow each position.
Element x y z (fractional)
Cu (0.0000, 0.0000, 0.0000)  4 Pd 2.67, 4 Pt 2.68, 4 Cu 2.74
Ni (0.0000, 0.0000, 0.5005)  4 Pt 2.62, 4 Pd 2.63, 4 Ni 2.74
Pd (0.5000, 0.5000, 0.2543)  4 Ni 2.63, 4 Cu 2.67, 4 Pd 2.74
Pt (0.5000, 0.5000, 0.7441)  4 Ni 2.62, 4 Cu 2.68, 4 Pt 2.74


No. 3
# IrSeI3

An optimized crystal structure of IrSeI3 (PBE, Alexandria).

The calculation puts the density of states at the Fermi level at 1.461 states/eV/atom. Its distance to the lowest polymorph of the same formula is 701.2 meV/atom. The calculated total energy comes out at -10.33 eV per cell. The value obtained for the formation energy from raw total energies is 1332.8 meV per atom.

a b c (Å): 5.7026 5.7026 5.7026
angles (deg): 90.00 90.00 90.00
Closest atoms and distances in Å follow each position.
Element x y z (fractional)
Ir (0.0000, 0.0000, 0.0000)  12 I 4.03
Se (0.5000, 0.5000, 0.5000)  6 I 2.85
I (0.0000, 0.5000, 0.5000)  2 Se 2.85
I (0.5000, 0.0000, 0.5000)  2 Se 2.85
I (0.5000, 0.5000, 0.0000)  2 Se 2.85


No. 4
# CdAs3S

An optimized crystal structure of CdAs3S (PBE, Alexandria).

The calculation puts the density of states at the Fermi level at 0.954 states/eV/atom. Its distance to the lowest polymorph of the same formula is 0.0 meV/atom. The calculated total energy comes out at -15.76 eV per cell. The value obtained for the formation energy from raw total energies is 645.3 meV per atom.

a b c (Å): 4.8505 4.8505 4.8505
angles (deg): 90.00 90.00 90.00
Closest atoms and distances in Å follow each position.
Element x y z (fractional)
Cd (0.0000, 0.0000, 0.0000)  12 As 3.43
As (0.0000, 0.5000, 0.5000)  2 S 2.43
As (0.5000, 0.0000, 0.5000)  2 S 2.43
As (0.5000, 0.5000, 0.0000)  2 S 2.43
S (0.5000, 0.5000, 0.5000)  6 As 2.43


No. 5
# Y3Cu4Sn4

An optimized crystal structure of Y3Cu4Sn4 (PBE, Alexandria).

The calculation puts the density of states at the Fermi level at 0.188 states/eV/atom. The calculated total energy comes out at -57.59 eV per cell.

a b c (Å): 8.4636 8.4636 8.4636
angles (deg): 149.30 131.39 58.60
Closest atoms and distances in Å follow each position.
Element x y z (fractional)
Y (0.0000, 0.0000, 0.0000)  6 Sn 3.05-3.19
Y (0.3690, 0.8690, 0.5000)  6 Sn 3.18-3.28, 6 Cu 3.18-3.21
Y (0.6310, 0.1310, 0.5000)  6 Sn 3.18-3.28, 6 Cu 3.18-3.21
Cu (0.0170, 0.3294, 0.6876)  1 Cu 2.61, 4 Sn 2.63-2.74
Cu (0.3582, 0.6706, 0.6876)  1 Cu 2.61, 4 Sn 2.63-2.74
Cu (0.6418, 0.3294, 0.3124)  1 Cu 2.61, 4 Sn 2.63-2.74
Cu (0.9830, 0.6706, 0.3124)  1 Cu 2.61, 4 Sn 2.63-2.74
Sn (0.2163, 0.2163, 0.0000)  6 Cu 2.68-2.74
Sn (0.2970, 0.5000, 0.7970)  2 Cu 2.63, 1 Sn 2.83
Sn (0.7030, 0.5000, 0.2030)  2 Cu 2.63, 1 Sn 2.83
Sn (0.7837, 0.7837, 0.0000)  6 Cu 2.68-2.74


No. 6
# La8ZnSi2

An optimized crystal structure of La8ZnSi2 (PBE, Alexandria).

The calculation puts the density of states at the Fermi level at 0.986 states/eV/atom. The calculated total energy comes out at -54.85 eV per cell. The value obtained for the formation energy from raw total energies is -301.3 meV per atom.

a b c (Å): 9.5239 9.5239 7.7000
angles (deg): 108.97 108.97 29.87
Closest atoms and distances in Å follow each position.
Element x y z (fractional)
La (0.0177, 0.0177, 0.2642)  2 Zn 3.13, 1 Si 3.21, 2 La 3.27
La (0.2066, 0.2066, 0.8108)  3 Si 3.16-3.23
La (0.3333, 0.3333, 0.5427)  3 Si 3.16-3.24, 1 Zn 3.19
La (0.4095, 0.4095, 0.0377)  2 Si 3.16, 2 La 3.27, 1 Zn 3.38
La (0.5905, 0.5905, 0.9623)  2 Si 3.16, 2 La 3.27, 1 Zn 3.38
La (0.6667, 0.6667, 0.4573)  3 Si 3.16-3.24, 1 Zn 3.19
La (0.7934, 0.7934, 0.1892)  3 Si 3.16-3.23
La (0.9823, 0.9823, 0.7358)  2 Zn 3.13, 1 Si 3.21, 2 La 3.27
Zn (0.5000, 0.5000, 0.5000)  8 La 3.13-3.38
Si (0.1802, 0.1802, 0.1961)  9 La 3.16-3.24
Si (0.8198, 0.8198, 0.8039)  9 La 3.16-3.24


No. 7
# MgCdBiPb

An optimized crystal structure of MgCdBiPb (PBE, Alexandria).

The calculation puts the density of states at the Fermi level at 0.508 states/eV/atom. Its distance to the lowest polymorph of the same formula is 52.8 meV/atom. The calculated total energy comes out at -39.94 eV per cell.

a b c (Å): 7.6768 7.6768 7.6768
angles (deg): 90.00 90.00 90.00
Closest atoms and distances in Å follow each position.
Element x y z (fractional)
Mg (0.0000, 0.0000, 0.0000)  4 Bi 3.32, 4 Cd 3.32
Mg (0.0000, 0.5000, 0.5000)  4 Bi 3.32, 4 Cd 3.32
Mg (0.5000, 0.0000, 0.5000)  4 Bi 3.32, 4 Cd 3.32
Mg (0.5000, 0.5000, 0.0000)  4 Bi 3.32, 4 Cd 3.32
Cd (0.2500, 0.2500, 0.7500)  4 Pb 3.32, 4 Mg 3.32
Cd (0.2500, 0.7500, 0.2500)  4 Pb 3.32, 4 Mg 3.32
Cd (0.7500, 0.2500, 0.2500)  4 Pb 3.32, 4 Mg 3.32
Cd (0.7500, 0.7500, 0.7500)  4 Pb 3.32, 4 Mg 3.32
Bi (0.2500, 0.2500, 0.2500)  4 Pb 3.32, 4 Mg 3.32
Bi (0.2500, 0.7500, 0.7500)  4 Pb 3.32, 4 Mg 3.32
Bi (0.7500, 0.2500, 0.7500)  4 Pb 3.32, 4 Mg 3.32
Bi (0.7500, 0.7500, 0.2500)  4 Pb 3.32, 4 Mg 3.32
Pb (0.0000, 0.0000, 0.5000)  4 Cd 3.32, 4 Bi 3.32
Pb (0.0000, 0.5000, 0.0000)  4 Cd 3.32, 4 Bi 3.32
Pb (0.5000, 0.0000, 0.0000)  4 Cd 3.32, 4 Bi 3.32
Pb (0.5000, 0.5000, 0.5000)  4 Cd 3.32, 4 Bi 3.32


No. 8
# Na2SnHgBr4

An optimized crystal structure of Na2SnHgBr4 (PBE, Alexandria).

The calculation puts the density of states at the Fermi level at 0.000 states/eV/atom. The calculated total energy comes out at -43.19 eV per cell. The value obtained for the formation energy from raw total energies is -994.9 meV per atom.

a b c (Å): 14.1466 4.3818 8.8204
angles (deg): 90.00 109.24 90.00
Closest atoms and distances in Å follow each position.
Element x y z (fractional)
Na (0.2222, 0.0000, 0.2218)  3 Br 2.89-3.14
Na (0.2778, 0.5000, 0.7782)  3 Br 2.89-3.14
Na (0.7222, 0.5000, 0.2218)  3 Br 2.89-3.14
Na (0.7778, 0.0000, 0.7782)  3 Br 2.89-3.14
Sn (0.0000, 0.0000, 0.5000)  6 Br 2.99-3.05
Sn (0.5000, 0.5000, 0.5000)  6 Br 2.99-3.05
Hg (0.0000, 0.5000, 0.0000)  6 Br 3.58-3.80, 4 Na 3.80
Hg (0.5000, 0.0000, 0.0000)  6 Br 3.58-3.80, 4 Na 3.80
Br (0.1275, 0.5000, 0.4247)  2 Sn 3.05, 3 Na 3.14-3.37
Br (0.1569, 0.0000, 0.8241)  2 Na 2.89, 1 Sn 2.99
Br (0.3431, 0.5000, 0.1759)  2 Na 2.89, 1 Sn 2.99
Br (0.3725, 0.0000, 0.5753)  2 Sn 3.05, 3 Na 3.14-3.37
Br (0.6275, 0.0000, 0.4247)  2 Sn 3.05, 3 Na 3.14-3.37
Br (0.6569, 0.5000, 0.8241)  2 Na 2.89, 1 Sn 2.99
Br (0.8431, 0.0000, 0.1759)  2 Na 2.89, 1 Sn 2.99
Br (0.8725, 0.5000, 0.5753)  2 Sn 3.05, 3 Na 3.14-3.37